[1]
The following is a PBE calculation of an optimized crystal structure of Pr5YEr5, from Alexandria.

a b c (Å): 6.132 6.132 11.847
angles (deg): 90.00 90.00 120.00
Fractional coordinates of all 11 atoms:
Pr1 0.000 0.000 0.000
Pr2 0.333 0.667 0.315
Pr3 0.333 0.667 0.685
Pr4 0.667 0.333 0.153
Pr5 0.667 0.333 0.847
Y1 0.333 0.667 0.000
Er1 0.000 0.000 0.266
Er2 0.000 0.000 0.734
Er3 0.333 0.166 0.500
Er4 0.834 0.166 0.500
Er5 0.834 0.667 0.500

Summary:
D(E_F) = 2.0130 states/eV/atom
Formation enthalpy at 0 K = 275 meV per atom
Space-group type = P-6m2

***

[2]
The following is a PBE calculation of an optimized crystal structure of Tl2NiSb, from Alexandria.

a b c (Å): 9.222 9.222 9.222
angles (deg): 21.88 21.88 21.88
Fractional coordinates of all 4 atoms:
Tl1 0.233 0.233 0.233
Tl2 0.767 0.767 0.767
Ni1 0.500 0.500 0.500
Sb1 0.000 0.000 0.000

Summary:
D(E_F) = 0.3583 states/eV/atom
Excess energy over the best structure of this formula in the dataset = 0.281 eV per atom
Uncorrected formation energy = 295 meV/atom
Space-group type = R-3m

***

[3]
The following is a PBE calculation of an optimized crystal structure of RbBaAcBr6, from Alexandria.

a b c (Å): 8.327 8.327 14.250
angles (deg): 90.00 90.00 120.00
Fractional coordinates of all 18 atoms:
Rb1 0.000 0.000 0.000
Rb2 0.000 0.000 0.500
Ba1 0.333 0.667 0.250
Ba2 0.667 0.333 0.750
Ac1 0.333 0.667 0.750
Ac2 0.667 0.333 0.250
Br1 0.018 0.372 0.631
Br2 0.018 0.646 0.869
Br3 0.354 0.372 0.869
Br4 0.354 0.982 0.631
Br5 0.372 0.018 0.131
Br6 0.372 0.354 0.369
Br7 0.628 0.646 0.631
Br8 0.628 0.982 0.869
Br9 0.646 0.018 0.369
Br10 0.646 0.628 0.131
Br11 0.982 0.354 0.131
Br12 0.982 0.628 0.369

Summary:
D(E_F) = 0.0000 states/eV/atom
Uncorrected formation energy = -2020 meV/atom
Space-group type = P-31c